Dy8As3PtSe4: relaxed, PBE.

* raw formation energy: -26.1 eV per formula unit

Cell: 8.1960 8.2392 8.1958 Å, 119.83 120.00 90.00°
Closest atoms and distances in Å follow each position.
Positions (direct):
Dy  0.2438  0.7377  0.9939  1 Pt 2.83, 2 As 2.87, 3 Se 2.94-2.98
Dy  0.2438  0.7377  0.4876  1 Pt 2.83, 2 As 2.87, 3 Se 2.94-2.98
Dy  0.2539  0.2618  0.5078  3 As 2.86, 3 Se 2.95
Dy  0.7501  0.7377  0.9939  1 Pt 2.83, 2 As 2.87, 3 Se 2.94-2.98
Dy  0.2499  0.2623  0.0061  1 Pt 2.83, 2 As 2.87, 3 Se 2.94-2.98
Dy  0.7461  0.7382  0.4922  3 As 2.86, 3 Se 2.95
Dy  0.7562  0.2623  0.5124  1 Pt 2.83, 2 As 2.87, 3 Se 2.94-2.98
Dy  0.7562  0.2623  0.0061  1 Pt 2.83, 2 As 2.87, 3 Se 2.94-2.98
As  0.5000  0.5000  0.0000  6 Dy 2.86-2.87
As  0.5000  0.5000  0.5000  6 Dy 2.86-2.87
As  0.0000  0.5000  0.5000  6 Dy 2.86-2.87
Pt  0.0000  0.5000  0.0000  6 Dy 2.83
Se  0.5000  0.0000  0.0000  6 Dy 2.98
Se  0.5000  0.0000  0.5000  6 Dy 2.94-2.95
Se  0.0000  0.0000  0.0000  6 Dy 2.94-2.95
Se  0.0000  0.0000  0.5000  6 Dy 2.94-2.95

=====

Dy6As2PtSe3: relaxed, PBE.

* raw formation energy: -19.4 eV per formula unit

Cell: 4.0701 8.2701 9.2207 Å, 103.26 102.75 90.00°
Closest atoms and distances in Å follow each position.
Positions (direct):
Dy  0.3361  0.9115  0.6723  1 Pt 2.87, 2 As 2.87, 3 Se 2.91-2.96
Dy  0.6695  0.5766  0.3389  3 As 2.85-2.87, 3 Se 2.93-2.96
Dy  0.6639  0.0885  0.3277  1 Pt 2.87, 2 As 2.87, 3 Se 2.91-2.96
Dy  0.0015  0.2372  0.0030  2 Pt 2.82, 1 As 2.89, 3 Se 2.98-2.99
Dy  0.9985  0.7628  0.9970  2 Pt 2.82, 1 As 2.89, 3 Se 2.98-2.99
Dy  0.3305  0.4234  0.6611  3 As 2.85-2.87, 3 Se 2.93-2.96
As  0.8333  0.6657  0.6666  6 Dy 2.85-2.89
As  0.1667  0.3343  0.3334  6 Dy 2.85-2.89
Pt  0.5000  0.0000  0.0000  6 Dy 2.82-2.87
Se  0.5000  0.5000  0.0000  6 Dy 2.96-2.98
Se  0.8306  0.1680  0.6611  6 Dy 2.91-2.99
Se  0.1694  0.8320  0.3389  6 Dy 2.91-2.99

=====

Dy8AsPt3Se4: relaxed, PBE.

* raw formation energy: -24.1 eV per formula unit

Cell: 8.0601 8.4226 8.0597 Å, 118.58 120.00 90.00°
Closest atoms and distances in Å follow each position.
Positions (direct):
Dy  0.2488  0.7369  0.9882  2 Pt 2.84, 1 As 2.90, 3 Se 2.94-2.99
Dy  0.2488  0.7368  0.4975  2 Pt 2.84, 1 As 2.90, 3 Se 2.94-2.99
Dy  0.2565  0.2697  0.5131  3 Pt 2.83, 3 Se 3.00
Dy  0.7394  0.7369  0.9882  2 Pt 2.84, 1 As 2.90, 3 Se 2.94-2.99
Dy  0.2606  0.2631  0.0118  2 Pt 2.84, 1 As 2.90, 3 Se 2.94-2.99
Dy  0.7435  0.7303  0.4869  3 Pt 2.83, 3 Se 3.00
Dy  0.7512  0.2632  0.5025  2 Pt 2.84, 1 As 2.90, 3 Se 2.94-2.99
Dy  0.7512  0.2631  0.0118  2 Pt 2.84, 1 As 2.90, 3 Se 2.94-2.99
As  0.0000  0.5000  0.0000  6 Dy 2.90
Pt  0.5000  0.5000  0.0000  6 Dy 2.83-2.84
Pt  0.5000  0.5000  0.5000  6 Dy 2.83-2.84
Pt  0.0000  0.5000  0.5000  6 Dy 2.83-2.84
Se  0.5000  0.0000  0.0000  6 Dy 2.94
Se  0.5000  0.0000  0.5000  6 Dy 2.99-3.00
Se  0.0000  0.0000  0.0000  6 Dy 2.99-3.00
Se  0.0000  0.0000  0.5000  6 Dy 2.99-3.00

=====

DySi2As2Pt7: relaxed, PBE.

* raw formation energy: -7.3 eV per formula unit

Cell: 3.9433 3.9433 14.4586 Å, 85.02 85.02 89.27°
Closest atoms and distances in Å follow each position.
Positions (direct):
Dy  0.0000  0.0000  0.0000  12 Pt 2.77-2.99
Si  0.5818  0.5818  0.7487  5 Pt 2.35-2.40
Si  0.4182  0.4182  0.2513  5 Pt 2.35-2.40
As  0.8428  0.8428  0.4232  4 Pt 2.54-2.79
As  0.1572  0.1572  0.5768  4 Pt 2.54-2.79
Pt  0.5000  0.5000  0.0000  4 Dy 2.77-2.81, 8 Pt 2.97-2.99
Pt  0.3931  0.3931  0.4144  1 Si 2.35, 2 As 2.54-2.55
Pt  0.6069  0.6069  0.5856  1 Si 2.35, 2 As 2.54-2.55
Pt  0.9487  0.4492  0.1558  2 Si 2.40
Pt  0.4492  0.9487  0.1558  2 Si 2.40
Pt  0.5508  0.0513  0.8442  2 Si 2.40
Pt  0.0513  0.5508  0.8442  2 Si 2.40

=====

Dy8Te3AsPt3: relaxed, PBE.

* raw formation energy: -17.6 eV per formula unit

Cell: 8.2805 8.2947 8.6288 Å, 118.89 89.98 119.91°
Closest atoms and distances in Å follow each position.
Positions (direct):
Dy  0.2628  0.5257  0.2888  3 Pt 2.83, 3 Te 3.16-3.17
Dy  0.7372  0.4743  0.7112  3 Pt 2.83, 3 Te 3.16-3.17
Dy  0.7564  0.5130  0.2831  2 Pt 2.83, 1 As 2.91, 2 Te 3.16
Dy  0.2436  0.4870  0.7169  2 Pt 2.83, 1 As 2.91, 2 Te 3.16
Dy  0.7565  0.0266  0.2831  2 Pt 2.83, 1 As 2.91, 2 Te 3.16
Dy  0.2435  0.9734  0.7169  2 Pt 2.83, 1 As 2.91, 2 Te 3.16
Dy  0.2701  0.0266  0.2831  2 Pt 2.83, 1 As 2.91, 2 Te 3.16
Dy  0.7299  0.9734  0.7169  2 Pt 2.83, 1 As 2.91, 2 Te 3.16
Te  0.0000  0.0000  0.0000  6 Dy 3.16
Te  0.0000  0.5000  0.0000  6 Dy 3.16-3.17
Te  0.5000  0.5000  0.0000  6 Dy 3.16
As  0.0000  0.0000  0.5000  6 Dy 2.91
Pt  0.5000  0.0000  0.5000  6 Dy 2.83
Pt  0.5000  0.5000  0.5000  6 Dy 2.83
Pt  0.0000  0.5000  0.5000  6 Dy 2.83

=====

Dy4Te2AsPt: relaxed, PBE.

* raw formation energy: -10.8 eV per formula unit

Cell: 4.1684 7.3859 7.4868 Å, 108.91 90.00 90.00°
Closest atoms and distances in Å follow each position.
Positions (direct):
Dy  0.5000  0.2409  0.2201  2 As 2.89, 1 Pt 2.90, 3 Te 3.13-3.16
Dy  0.5000  0.7591  0.7799  2 As 2.89, 1 Pt 2.90, 3 Te 3.13-3.16
Dy  0.0000  0.2709  0.7895  2 Pt 2.82, 1 As 2.92, 1 Te 3.15
Dy  0.0000  0.7291  0.2105  2 Pt 2.82, 1 As 2.92, 1 Te 3.15
Te  0.5000  0.0000  0.5000  6 Dy 3.16-3.20
Te  0.0000  0.5000  0.5000  6 Dy 3.13-3.15
As  0.0000  0.0000  0.0000  6 Dy 2.89-2.92
Pt  0.5000  0.5000  0.0000  6 Dy 2.82-2.90

=====

DyPuAs: relaxed, PBE.

* relative energy among the computed polymorphs: 0.166 eV per atom
* energy relative to the elements: -433 meV per atom

Cell: 4.0436 4.7262 4.7262 Å, 120.00 90.00 90.00°
Closest atoms and distances in Å follow each position.
Positions (direct):
As  0.9455  0.0000  0.0000  3 Dy 2.83, 3 Pu 3.07
Dy  0.7635  0.6667  0.3333  3 As 2.83
Pu  0.2910  0.3333  0.6667  3 As 3.07, 3 Dy 3.33

=====

Dy2PuAs: relaxed, PBE.

* energy relative to the elements: -274 meV per atom

Cell: 3.7509 3.7509 10.4809 Å, 79.69 79.69 60.00°
Closest atoms and distances in Å follow each position.
Positions (direct):
As  0.5000  0.5000  0.5000  6 Dy 2.78
Dy  0.1097  0.1097  0.6708  3 As 2.78
Dy  0.8903  0.8903  0.3292  3 As 2.78
Pu  0.0000  0.0000  0.0000  2 Dy 3.38, 6 Pu 3.75

=====

Dy2PuAs3: relaxed, PBE.

* energy relative to the elements: -1354 meV per atom

Cell: 4.1245 4.1245 9.2078 Å, 102.94 102.94 90.00°
Closest atoms and distances in Å follow each position.
Positions (direct):
Dy  0.1021  0.1034  0.2097  6 As 2.90-2.93
Dy  0.7664  0.7677  0.5383  6 As 2.90-2.93
Pu  0.4341  0.4359  0.8740  6 As 2.91-2.92
As  0.9341  0.9359  0.8740  4 Pu 2.92, 2 Dy 2.93
As  0.2680  0.2693  0.5413  5 Dy 2.90-2.92, 1 Pu 2.91
As  0.6006  0.6019  0.2066  5 Dy 2.90-2.92, 1 Pu 2.91

=====

DyPu4As5: relaxed, PBE.

* energy relative to the elements: -1122 meV per atom

Cell: 4.1352 7.1531 9.2376 Å, 75.03 77.07 73.20°
Closest atoms and distances in Å follow each position.
Positions (direct):
Dy  0.0000  0.0000  0.0000  6 As 2.93
Pu  0.5995  0.1999  0.6012  6 As 2.92-2.93
Pu  0.2004  0.3991  0.2001  6 As 2.91-2.92
Pu  0.7996  0.6009  0.7999  6 As 2.91-2.92
Pu  0.4005  0.8001  0.3988  6 As 2.92-2.93
As  0.2003  0.9000  0.6994  5 Pu 2.92-2.93, 1 Dy 2.93
As  0.7997  0.1000  0.3006  5 Pu 2.92-2.93, 1 Dy 2.93
As  0.3988  0.3027  0.8997  4 Pu 2.91-2.92, 2 Dy 2.93
As  0.0000  0.5000  0.5000  6 Pu 2.92
As  0.6012  0.6973  0.1003  4 Pu 2.91-2.92, 2 Dy 2.93

=====

DyPuAs: relaxed, PBE.

* relative energy among the computed polymorphs: 0.000 eV per atom
* energy relative to the elements: -600 meV per atom

Cell: 4.0816 4.0816 10.3832 Å, 90.00 90.00 90.00°
Closest atoms and distances in Å follow each position.
Positions (direct):
As  0.0000  0.5000  0.6266  1 Dy 2.78, 5 Pu 2.89-2.90
As  0.5000  0.0000  0.3734  1 Dy 2.78, 5 Pu 2.89-2.90
Pu  0.5000  0.0000  0.6519  5 As 2.89-2.90
Pu  0.0000  0.5000  0.3481  5 As 2.89-2.90
Dy  0.0000  0.5000  0.8943  1 As 2.78
Dy  0.5000  0.0000  0.1057  1 As 2.78

=====

DyPu2As3Rh4: relaxed, PBE.

* energy relative to the elements: -769 meV per atom

Cell: 4.0733 4.0733 11.5693 Å, 90.00 90.00 90.00°
Closest atoms and distances in Å follow each position.
Positions (direct):
Dy  0.5000  0.5000  0.5000  4 Rh 2.78, 4 As 2.88
Pu  0.5000  0.0000  0.2310  4 As 3.13, 8 Rh 3.13-3.36
Pu  0.0000  0.5000  0.7690  4 As 3.13, 8 Rh 3.13-3.36
As  0.0000  0.0000  0.5000  4 Rh 2.78, 4 Dy 2.88
As  0.5000  0.0000  0.8741  5 Rh 2.44-2.50
As  0.0000  0.5000  0.1259  5 Rh 2.44-2.50
Rh  0.5000  0.5000  0.0000  4 As 2.50
Rh  0.0000  0.0000  0.0000  4 As 2.50
Rh  0.5000  0.0000  0.6636  1 As 2.44
Rh  0.0000  0.5000  0.3364  1 As 2.44